No. 1
Entry from Alexandria: a geometry-optimized Li3CrPd structure (PBE).

Values from the calculation:
excess energy over the best structure of this formula in the dataset	0.000	eV/atom
space-group type	Pm-3m (221)

Cell: 4.666 4.666 4.666 Å, 90.00 90.00 90.00°
Element x y z (fractional)
Li1 0.000 0.000 0.500
Li2 0.000 0.500 0.000
Li3 0.500 0.000 0.000
Cr1 0.500 0.500 0.500
Pd1 0.000 0.000 0.000

***

No. 2
Entry from Alexandria: a geometry-optimized BaEuNi4 structure (PBE).

Values from the calculation:
electronic total energy	-0.2155	hartree per atom
space-group type	F-43m (216)

Cell: 5.280 5.280 5.280 Å, 60.00 60.00 60.00°
Element x y z (fractional)
Ba1 0.000 0.000 0.000
Eu1 0.250 0.250 0.250
Ni1 0.130 0.623 0.623
Ni2 0.623 0.130 0.623
Ni3 0.623 0.623 0.130
Ni4 0.623 0.623 0.623